one.
A relaxed structure of YZnGa2Au, computed with PBE.

Structure (POSCAR):
```
YZnGa2Au
1.0
-0.3046 1.8333 -3.7572
-3.9004 -1.4805 -0.4063
0.1447 4.3338 4.4411
Y Zn Ga Au
1 1 2 1
Direct
0.0000 0.0000 0.0000
0.2500 0.7500 0.5000
0.6106 0.6106 0.2212
0.3894 0.3894 0.7788
0.7500 0.2500 0.5000
```

Properties
DOS at the Fermi energy: 0.3043 states/eV/atom
Symmetry: I-4m2, No. 119
Magnetization: 0.000 μB/f.u.



two.
A relaxed structure of YZnGa2Au, computed with PBE.

Structure (POSCAR):
```
YZnGa2Au
1.0
5.5488 0.0000 0.0000
0.0000 5.4487 0.0000
0.0000 0.0000 5.5488
Y Zn Au Ga
1 1 1 2
Direct
0.0000 0.0000 0.0000
0.0000 0.5000 0.0000
0.5000 0.5000 0.5000
0.0000 0.0000 0.5000
0.5000 0.0000 0.0000
```

Properties
DOS at the Fermi energy: 1.4160 states/eV/atom
Symmetry: P4/mmm, No. 123
Magnetization: 0.000 μB/f.u.



It is one that is most stable; the runner-up trails by 1445 meV/atom.



one.
A relaxed structure of Zn2GaAu3, computed with PBE.

Structure (POSCAR):
```
Zn2GaAu3
1.0
6.2404 0.1333 0.2295
-1.2605 6.3056 0.1935
-1.2605 -2.9580 5.5721
Zn Ga Au
4 2 6
Direct
0.2500 0.9170 0.0830
0.2500 0.2501 0.7499
0.7500 0.0830 0.9170
0.7500 0.7499 0.2501
0.2500 0.5822 0.4178
0.7500 0.4178 0.5822
0.0007 0.1649 0.3333
0.5007 0.3333 0.1649
0.0000 0.5000 0.0000
0.9993 0.8351 0.6667
0.5000 0.0000 0.5000
0.4993 0.6667 0.8351
```

Properties
DOS at the Fermi energy: 0.2204 states/eV/atom
Symmetry: C2/c, No. 15
Magnetization: 0.000 μB/f.u.



two.
A relaxed structure of Zn2GaAu3, computed with PBE.

Structure (POSCAR):
```
Zn2GaAu3
1.0
-1.5292 -4.0309 -1.3165
4.3223 1.0963 -0.6602
2.6615 -4.3445 10.2108
Zn Ga Au
4 2 6
Direct
0.0000 0.0000 0.5000
0.3333 0.6667 0.1581
0.6667 0.3333 0.8419
0.0000 0.0000 0.0000
0.3333 0.6667 0.6673
0.6667 0.3333 0.3327
0.3333 0.6667 0.4124
0.6667 0.3333 0.0823
0.0000 0.0000 0.7540
0.0000 0.0000 0.2460
0.3333 0.6667 0.9177
0.6667 0.3333 0.5876
```

Properties
DOS at the Fermi energy: 0.2646 states/eV/atom
Symmetry: P-3m1, No. 164
Magnetization: 0.000 μB/f.u.



It is two that is most stable; the runner-up trails by 57 meV/atom.



one.
A relaxed structure of Zn4GaAu, computed with PBE.

Structure (POSCAR):
```
Zn4GaAu
1.0
5.1553 0.0000 0.0000
2.5776 4.4646 0.0000
2.5776 1.4882 4.2093
Zn Au Ga
4 1 1
Direct
0.6254 0.6254 0.1239
0.6254 0.1239 0.6254
0.6254 0.6254 0.6254
0.1239 0.6254 0.6254
0.0000 0.0000 0.0000
0.2500 0.2500 0.2500
```

Properties
DOS at the Fermi energy: 0.2892 states/eV/atom
Symmetry: F-43m, No. 216
Magnetization: 0.000 μB/f.u.



two.
A relaxed structure of Zn4GaAu, computed with PBE.

Structure (POSCAR):
```
Zn4GaAu
1.0
-2.1536 0.1025 -5.4778
0.7952 -6.6119 -0.4364
-4.6978 2.5673 3.5735
Zn Ga Au
8 2 2
Direct
0.2043 0.6964 0.3928
0.4905 0.0796 0.7521
0.0000 0.1905 0.0000
0.5095 0.3275 0.2479
0.7957 0.3036 0.6072
0.5095 0.9204 0.2479
0.0000 0.8095 0.0000
0.4905 0.6725 0.7521
0.8168 0.7868 0.5737
0.1832 0.2132 0.4263
0.2459 0.4555 0.9110
0.7541 0.5445 0.0890
```

Properties
DOS at the Fermi energy: 0.2661 states/eV/atom
Symmetry: C2/m, No. 12
Magnetization: 0.000 μB/f.u.



It is two that is most stable; the runner-up trails by 33 meV/atom.



one.
A relaxed structure of Zn2GaAu6, computed with PBE.

Structure (POSCAR):
```
Zn2GaAu6
1.0
-3.8164 -1.5466 0.6083
-0.6887 -4.6103 -1.8001
1.2423 -6.2085 6.2514
Zn Ga Au
2 1 6
Direct
0.3052 0.6454 0.7441
0.6948 0.3546 0.2559
0.0000 0.5000 0.5000
0.6624 0.7380 0.9372
0.3376 0.2620 0.0628
0.0140 0.7899 0.1822
0.3479 0.8922 0.4121
0.9860 0.2101 0.8178
0.6521 0.1078 0.5879
```

Properties
DOS at the Fermi energy: 0.2526 states/eV/atom
Symmetry: C2/m, No. 12
Magnetization: 0.000 μB/f.u.



two.
A relaxed structure of Zn2GaAu6, computed with PBE.

Structure (POSCAR):
```
Zn2GaAu6
1.0
0.1727 3.7910 2.4803
4.1232 -3.3873 7.0689
8.8105 0.8757 0.2267
Zn Ga Au
4 2 12
Direct
0.4195 0.5222 0.8193
0.0805 0.1807 0.4778
0.5805 0.4778 0.1807
0.9195 0.8193 0.5222
0.2500 0.1574 0.8426
0.7500 0.8426 0.1574
0.4670 0.6755 0.4666
0.0330 0.5334 0.3245
0.5330 0.3245 0.5334
0.9670 0.4666 0.6755
0.6309 0.1230 0.3426
0.8691 0.6574 0.8770
0.3691 0.8770 0.6574
0.1309 0.3426 0.1230
0.2984 0.7912 0.0116
0.2016 0.9884 0.2088
0.7016 0.2088 0.9884
0.7984 0.0116 0.7912
```

Properties
DOS at the Fermi energy: 0.2739 states/eV/atom
Symmetry: C2/c, No. 15
Magnetization: 0.000 μB/f.u.



It is two that is most stable; the runner-up trails by 11 meV/atom.



one.
A relaxed structure of Zn2GaAu4, computed with PBE.

Structure (POSCAR):
```
Zn2GaAu4
1.0
4.4579 0.0788 0.0000
-2.1598 3.9005 0.0000
0.0000 0.0000 13.8453
Zn Ga Au
4 2 8
Direct
0.8388 0.1612 0.5582
0.1612 0.8388 0.0582
0.8388 0.1612 0.9418
0.1612 0.8388 0.4418
0.4983 0.5017 0.2500
0.5017 0.4983 0.7500
0.1774 0.8226 0.8647
0.1774 0.8226 0.6353
0.8226 0.1774 0.1353
0.8226 0.1774 0.3647
0.1600 0.8400 0.2500
0.8400 0.1600 0.7500
0.5000 0.5000 0.0000
0.5000 0.5000 0.5000
```

Properties
DOS at the Fermi energy: 0.3146 states/eV/atom
Symmetry: Cmcm, No. 63
Magnetization: 0.000 μB/f.u.



two.
A relaxed structure of Zn2GaAu4, computed with PBE.

Structure (POSCAR):
```
Zn2GaAu4
1.0
6.6125 -0.5576 0.2656
-1.0649 6.3032 -0.1601
-2.4059 -3.0600 6.3925
Zn Ga Au
4 2 8
Direct
0.6250 0.3751 0.7497
0.6256 0.8754 0.2506
0.6249 0.3749 0.2501
0.1246 0.3745 0.7497
0.2685 0.7683 0.5043
0.9817 0.9816 0.9957
0.9923 0.2692 0.3509
0.2580 0.4813 0.1487
0.9208 0.6428 0.6391
0.7395 0.0029 0.6530
0.3468 0.0878 0.3445
0.3295 0.1075 0.8608
0.5101 0.7470 0.8477
0.9028 0.6616 0.1550
```

Properties
DOS at the Fermi energy: 0.2829 states/eV/atom
Symmetry: P-1, No. 2
Magnetization: 0.000 μB/f.u.



It is one that is most stable; the runner-up trails by 68 meV/atom.



one.
A relaxed structure of Zn3GaAu, computed with PBE.

Structure (POSCAR):
```
Zn3GaAu
1.0
4.9191 0.0000 0.0000
0.0000 4.9191 0.0000
0.0000 0.0000 4.9191
Zn Au Ga
3 1 1
Direct
0.0000 0.5000 0.0000
0.0000 0.0000 0.5000
0.5000 0.0000 0.0000
0.0000 0.0000 0.0000
0.5000 0.5000 0.5000
```

Properties
DOS at the Fermi energy: 0.3296 states/eV/atom
Symmetry: Pm-3m, No. 221
Magnetization: 0.000 μB/f.u.



two.
A relaxed structure of Zn3GaAu, computed with PBE.

Structure (POSCAR):
```
Zn3GaAu
1.0
4.7488 0.0000 0.0000
0.0000 4.7488 0.0000
0.0000 0.0000 4.7488
Zn Au Ga
3 1 1
Direct
0.0000 0.5000 0.0000
0.0000 0.0000 0.5000
0.5000 0.0000 0.0000
0.5000 0.5000 0.5000
0.0000 0.0000 0.0000
```

Properties
DOS at the Fermi energy: 0.1423 states/eV/atom
Symmetry: Pm-3m, No. 221
Magnetization: 0.000 μB/f.u.



It is one that is most stable; the runner-up trails by 188 meV/atom.



one.
A relaxed structure of Zn2GaAu5, computed with PBE.

Structure (POSCAR):
```
Zn2GaAu5
1.0
-0.3849 -3.9499 0.9031
8.2950 0.9135 -1.6405
1.8536 2.2485 10.6247
Zn Ga Au
4 2 10
Direct
0.8738 0.7475 0.4409
0.8738 0.7475 0.0591
0.1262 0.2525 0.5591
0.1262 0.2525 0.9409
0.8469 0.6939 0.7500
0.1531 0.3061 0.2500
0.9767 0.9534 0.8774
0.9767 0.9534 0.6226
0.2656 0.5313 0.4199
0.2656 0.5313 0.0801
0.7707 0.5414 0.2500
0.2293 0.4586 0.7500
0.7344 0.4687 0.5801
0.7344 0.4687 0.9199
0.0233 0.0466 0.1226
0.0233 0.0466 0.3774
```

Properties
DOS at the Fermi energy: 0.3501 states/eV/atom
Symmetry: Cmcm, No. 63
Magnetization: 0.000 μB/f.u.



two.
A relaxed structure of Zn2GaAu5, computed with PBE.

Structure (POSCAR):
```
Zn2GaAu5
1.0
-0.2172 -3.2597 2.9425
4.8997 -1.9905 -1.8434
5.3239 6.2888 7.3599
Zn Ga Au
4 2 10
Direct
0.5000 0.3372 0.3565
0.5000 0.6628 0.6435
0.5000 0.1628 0.8565
0.5000 0.8372 0.1435
0.0000 0.0000 0.5000
0.0000 0.5000 0.0000
0.5000 0.3200 0.1048
0.5000 0.6800 0.8952
0.5000 0.8200 0.3952
0.5000 0.1800 0.6048
0.0000 0.9063 0.7377
0.0000 0.0937 0.2623
0.0000 0.4063 0.7623
0.0000 0.5937 0.2377
0.0000 0.5000 0.5000
0.0000 0.0000 0.0000
```

Properties
DOS at the Fermi energy: 0.1938 states/eV/atom
Symmetry: Pbam, No. 55
Magnetization: 0.000 μB/f.u.



It is two that is most stable; the runner-up trails by 163 meV/atom.



one.
A relaxed structure of Zn2GaAu2, computed with PBE.

Structure (POSCAR):
```
Zn2GaAu2
1.0
-0.7990 -3.5944 -0.1188
1.1977 -0.3807 3.4631
-5.9427 -0.6972 3.9381
Zn Au Ga
2 2 1
Direct
0.7500 0.2500 0.5000
0.2500 0.7500 0.5000
0.3956 0.3956 0.2088
0.6044 0.6044 0.7912
0.0000 0.0000 0.0000
```

Properties
DOS at the Fermi energy: 0.3238 states/eV/atom
Symmetry: I4/mmm, No. 139
Magnetization: 0.000 μB/f.u.



two.
A relaxed structure of Zn2GaAu2, computed with PBE.

Structure (POSCAR):
```
Zn2GaAu2
1.0
4.4655 0.0000 0.0000
0.0000 4.4535 -0.0893
0.0000 0.1813 9.1574
Zn Ga Au
4 2 4
Direct
0.7500 0.2498 0.0023
0.2500 0.7499 0.6846
0.2500 0.7502 0.9977
0.7500 0.2501 0.3154
0.7500 0.2504 0.6873
0.2500 0.7496 0.3127
0.2500 0.2496 0.4785
0.7500 0.7499 0.1578
0.2500 0.2501 0.8422
0.7500 0.7504 0.5215
```

Properties
DOS at the Fermi energy: 0.1100 states/eV/atom
Symmetry: Pmmn, No. 59
Magnetization: 0.000 μB/f.u.



It is two that is most stable; the runner-up trails by 68 meV/atom.



one.
A relaxed structure of Zn2GaAu2, computed with PBE.

Structure (POSCAR):
```
Zn2GaAu2
1.0
7.8549 0.0000 0.0000
0.0000 7.8549 0.0000
0.0000 0.0000 2.8636
Zn Au Ga
4 4 2
Direct
0.3780 0.8780 0.0000
0.8780 0.6220 0.0000
0.6220 0.1220 0.0000
0.1220 0.3780 0.0000
0.1752 0.6752 0.5000
0.6752 0.8248 0.5000
0.8248 0.3248 0.5000
0.3248 0.1752 0.5000
0.0000 0.0000 0.0000
0.5000 0.5000 0.0000
```

Properties
DOS at the Fermi energy: 0.2613 states/eV/atom
Symmetry: P4/mbm, No. 127
Magnetization: 0.000 μB/f.u.



two.
A relaxed structure of Zn2GaAu2, computed with PBE.

Structure (POSCAR):
```
Zn2GaAu2
1.0
3.9539 0.0000 0.0000
0.0000 3.9539 0.0000
1.9769 1.9769 6.1400
Zn Au Ga
2 2 1
Direct
0.4002 0.4002 0.1997
0.5998 0.5998 0.8003
0.7500 0.2500 0.5000
0.2500 0.7500 0.5000
0.0000 0.0000 0.0000
```

Properties
DOS at the Fermi energy: 0.3766 states/eV/atom
Symmetry: I4/mmm, No. 139
Magnetization: 0.000 μB/f.u.



It is one that is most stable; the runner-up trails by 117 meV/atom.



one.
A relaxed structure of Zn2GaAu2, computed with PBE.

Structure (POSCAR):
```
Zn2GaAu2
1.0
-4.8141 1.9998 -5.8639
-4.1217 -6.5781 1.1404
-1.6903 1.3813 1.8587
Zn Au Ga
4 4 2
Direct
0.1270 0.6270 0.5000
0.6270 0.8730 0.5000
0.8730 0.3730 0.5000
0.3730 0.1270 0.5000
0.3293 0.8293 0.0000
0.8293 0.6707 0.0000
0.6707 0.1707 0.0000
0.1707 0.3293 0.0000
0.0000 0.0000 0.0000
0.5000 0.5000 0.0000
```

Properties
DOS at the Fermi energy: 0.2467 states/eV/atom
Symmetry: P4/mbm, No. 127
Magnetization: 0.000 μB/f.u.



two.
A relaxed structure of Zn2GaAu2, computed with PBE.

Structure (POSCAR):
```
Zn2GaAu2
1.0
-1.9789 -3.4886 1.6630
3.0735 0.5413 4.7930
-3.9799 5.8605 1.8903
Zn Ga Au
4 2 4
Direct
0.9538 0.7853 0.9076
0.8402 0.4059 0.6805
0.1598 0.9059 0.3195
0.0462 0.2853 0.0924
0.3612 0.0431 0.7224
0.6388 0.5431 0.2776
0.4523 0.4632 0.9046
0.7688 0.9369 0.5375
0.2312 0.4369 0.4625
0.5477 0.9632 0.0954
```

Properties
DOS at the Fermi energy: 0.2339 states/eV/atom
Symmetry: Cmc2_1, No. 36
Magnetization: 0.000 μB/f.u.



It is two that is most stable; the runner-up trails by 21 meV/atom.



one.
A relaxed structure of Zn3GaAu2, computed with PBE.

Structure (POSCAR):
```
Zn3GaAu2
1.0
-3.0305 -0.1010 1.4162
-1.0853 -6.3900 -2.7781
3.4241 -3.6538 7.0667
Zn Ga Au
6 2 4
Direct
0.0000 0.4259 0.9150
0.0000 0.9259 0.0850
0.5000 0.6160 0.1656
0.5000 0.1160 0.8344
0.0000 0.3887 0.3299
0.0000 0.8887 0.6701
0.5000 0.5709 0.5930
0.5000 0.0709 0.4070
0.5000 0.7308 0.8788
0.5000 0.2308 0.1212
0.0000 0.2677 0.6218
0.0000 0.7677 0.3782
```

Properties
DOS at the Fermi energy: 0.3129 states/eV/atom
Symmetry: Pmc2_1, No. 26
Magnetization: 0.000 μB/f.u.



two.
A relaxed structure of Zn3GaAu2, computed with PBE.

Structure (POSCAR):
```
Zn3GaAu2
1.0
7.7453 0.0000 0.0000
0.0000 5.5372 0.0000
-3.8727 -2.7686 5.3472
Zn Ga Au
6 2 4
Direct
0.5000 0.2500 0.0000
0.5000 0.7500 0.0000
0.7640 0.0140 0.5280
0.2360 0.4860 0.4720
0.2360 0.9860 0.4720
0.7640 0.5140 0.5280
0.0000 0.5000 0.0000
0.0000 0.0000 0.0000
0.5906 0.3613 0.7226
0.8680 0.1387 0.2774
0.1320 0.8613 0.7226
0.4094 0.6387 0.2774
```

Properties
DOS at the Fermi energy: 0.2251 states/eV/atom
Symmetry: Ibam, No. 72
Magnetization: 0.000 μB/f.u.



It is one that is most stable; the runner-up trails by 70 meV/atom.